No. 1
Computed, not measured: a relaxed structure of CrNiIr2 at the PBE-GGA level of DFT.

Values from the calculation:
VASP energy   -0.59420 Ry per atom
Space-group type   Cmmm, No. 65

The structure in extended XYZ format:
```
4
Lattice="-1.992 -1.556 0.754 2.392 -1.092 -0.211 1.629 1.958 8.343" Properties=species:S:1:pos:R:3 pbc="T T T"
Ni 0.607 -0.834 2.357
Cr 1.421 0.144 6.529
Ir 1.623 1.951 8.314
Ir 0.820 0.986 4.200
```

***

No. 2
Computed, not measured: a relaxed structure of TiBeFePt at the PBE-GGA level of DFT.

Values from the calculation:
VASP energy   -0.52081 Ry per atom
Space-group type   F-43m, No. 216

The structure in extended XYZ format:
```
4
Lattice="4.127 0.000 0.000 2.063 3.574 0.000 2.063 1.191 3.369" Properties=species:S:1:pos:R:3 pbc="T T T"
Be 6.190 3.574 2.527
Pt 4.127 2.383 1.685
Ti 2.063 1.191 0.842
Fe 0.000 0.000 0.000
```

***

no.,ΔH_f (0 K) (kcal/mol of atoms)
1,4.5
2,-12.8